1.
Ce2Si: optimized geometry, GGA-PBE.

The structure in POSCAR format:
```
Ce2Si
1.0
2.202 -7.746 0.000
2.202 7.746 0.000
0.000 0.000 4.125
Ce Si
4 2
Direct
0.000 0.000 0.000
0.189 0.811 0.500
0.500 0.500 0.500
0.811 0.189 0.500
0.354 0.646 0.000
0.646 0.354 0.000
```

Values from the calculation:
- formation energy without anion corrections (eV per atom) = -0.460
- symmetry = Cmmm, No. 65
- total magnetization (μB per formula unit) = 1.0
- density of states at the Fermi level (states/eV/atom) = 2.383
- volume (Å³ per atom) = 23.456

2.
Ce3Si4: optimized geometry, GGA-PBE.

The structure in POSCAR format:
```
Ce3Si4
1.0
-1.970 2.164 8.926
1.970 -2.164 8.926
1.970 2.164 -8.926
Ce Si
3 4
Direct
0.000 0.000 0.000
0.183 0.683 0.500
0.817 0.317 0.500
0.357 0.857 0.500
0.435 0.435 0.000
0.565 0.565 0.000
0.643 0.143 0.500
```

Values from the calculation:
- formation energy without anion corrections (eV per atom) = -0.676
- symmetry = Immm, No. 71
- total magnetization (μB per formula unit) = 2.1
- density of states at the Fermi level (states/eV/atom) = 1.955
- volume (Å³ per atom) = 21.744

3.
Ce5Si4: optimized geometry, GGA-PBE.

The structure in POSCAR format:
```
Ce5Si4
1.0
7.800 0.000 0.000
0.000 7.800 0.000
0.000 0.000 14.483
Ce Si
20 16
Direct
0.004 0.132 0.124
0.004 0.640 0.207
0.132 0.004 0.876
0.140 0.496 0.957
0.179 0.179 0.500
0.321 0.679 0.750
0.360 0.996 0.293
0.368 0.504 0.374
0.496 0.140 0.043
0.496 0.632 0.126
0.504 0.368 0.626
0.504 0.860 0.543
0.632 0.496 0.874
0.640 0.004 0.793
0.679 0.321 0.250
0.821 0.821 0.000
0.860 0.504 0.457
0.868 0.996 0.376
0.996 0.360 0.707
0.996 0.868 0.624
0.065 0.298 0.309
0.157 0.791 0.439
0.202 0.565 0.559
0.209 0.843 0.061
0.291 0.343 0.189
0.298 0.065 0.691
0.343 0.291 0.811
0.435 0.798 0.941
0.565 0.202 0.441
0.657 0.709 0.311
0.702 0.935 0.191
0.709 0.657 0.689
0.791 0.157 0.561
0.798 0.435 0.059
0.843 0.209 0.939
0.935 0.702 0.809
```

Values from the calculation:
- formation energy without anion corrections (eV per atom) = -0.601
- symmetry = P4_12_12, No. 92
- total magnetization (μB per formula unit) = 4.9
- density of states at the Fermi level (states/eV/atom) = 2.452
- volume (Å³ per atom) = 24.476

4.
Ce7Si: optimized geometry, GGA-PBE.

The structure in POSCAR format:
```
Ce7Si
1.0
0.000 4.591 4.591
4.591 0.000 4.591
4.591 4.591 0.000
Ce Si
7 1
Direct
0.000 0.000 0.000
0.000 0.000 0.500
0.000 0.500 0.000
0.000 0.500 0.500
0.500 0.000 0.000
0.500 0.000 0.500
0.500 0.500 0.000
0.500 0.500 0.500
```

Values from the calculation:
- formation energy without anion corrections (eV per atom) = -0.153
- symmetry = Fm-3m, No. 225
- total magnetization (μB per formula unit) = 0.0
- density of states at the Fermi level (states/eV/atom) = 2.437
- volume (Å³ per atom) = 24.196

5.
CeSi: optimized geometry, GGA-PBE.

The structure in POSCAR format:
```
CeSi
1.0
0.000 2.966 2.966
2.966 0.000 2.966
2.966 2.966 0.000
Ce Si
1 1
Direct
0.000 0.000 0.000
0.500 0.500 0.500
```

Values from the calculation:
- formation energy without anion corrections (eV per atom) = -0.445
- symmetry = Fm-3m, No. 225
- total magnetization (μB per formula unit) = 0.0
- density of states at the Fermi level (states/eV/atom) = 0.565
- volume (Å³ per atom) = 26.095

6.
CeSi5: optimized geometry, GGA-PBE.

The structure in POSCAR format:
```
CeSi5
1.0
2.360 -6.302 0.000
2.360 6.302 0.000
0.000 0.000 3.496
Ce Si
1 5
Direct
0.000 0.000 0.000
0.198 0.802 0.500
0.343 0.657 0.000
0.500 0.500 0.500
0.657 0.343 0.000
0.802 0.198 0.500
```

Values from the calculation:
- formation energy without anion corrections (eV per atom) = 0.014
- symmetry = Cmmm, No. 65
- total magnetization (μB per formula unit) = 0.0
- density of states at the Fermi level (states/eV/atom) = 0.770
- volume (Å³ per atom) = 17.330

7.
CeSi5: optimized geometry, GGA-PBE.

The structure in POSCAR format:
```
CeSi5
1.0
4.993 -3.020 0.000
4.993 3.020 0.000
-1.403 0.000 3.483
Ce Si
1 5
Direct
0.000 0.000 0.000
0.132 0.526 0.329
0.474 0.868 0.671
0.500 0.500 0.000
0.526 0.132 0.329
0.868 0.474 0.671
```

Values from the calculation:
- formation energy without anion corrections (eV per atom) = -0.248
- symmetry = C2/m, No. 12
- total magnetization (μB per formula unit) = 0.0
- density of states at the Fermi level (states/eV/atom) = 0.588
- volume (Å³ per atom) = 17.506

8.
Ce5Si4: optimized geometry, GGA-PBE.

The structure in POSCAR format:
```
Ce5Si4
1.0
5.348 -2.207 0.000
5.348 2.207 0.000
-4.085 0.000 9.014
Ce Si
5 4
Direct
0.000 0.000 0.000
0.105 0.105 0.395
0.257 0.257 0.838
0.743 0.743 0.162
0.895 0.895 0.605
0.388 0.388 0.387
0.450 0.450 0.174
0.550 0.550 0.826
0.612 0.612 0.613
```

Values from the calculation:
- formation energy without anion corrections (eV per atom) = -0.603
- symmetry = C2/m, No. 12
- total magnetization (μB per formula unit) = 4.3
- density of states at the Fermi level (states/eV/atom) = 2.363
- volume (Å³ per atom) = 23.643

9.
Ce4Si: optimized geometry, GGA-PBE.

The structure in POSCAR format:
```
Ce4Si
1.0
5.516 0.000 0.000
0.000 5.516 0.000
0.000 0.000 5.516
Ce Si
4 1
Direct
0.000 0.000 0.000
0.000 0.500 0.500
0.500 0.000 0.500
0.500 0.500 0.000
0.500 0.500 0.500
```

Values from the calculation:
- formation energy without anion corrections (eV per atom) = 0.207
- symmetry = Pm-3m, No. 221
- total magnetization (μB per formula unit) = 3.9
- density of states at the Fermi level (states/eV/atom) = 4.172
- volume (Å³ per atom) = 33.570

10.
CeSi: optimized geometry, GGA-PBE.

The structure in POSCAR format:
```
CeSi
1.0
-2.048 2.048 11.024
2.048 -2.048 11.024
2.048 2.048 -11.024
Ce Si
4 4
Direct
0.073 0.323 0.750
0.323 0.073 0.250
0.677 0.927 0.750
0.927 0.677 0.250
0.216 0.466 0.750
0.466 0.216 0.250
0.534 0.784 0.750
0.784 0.534 0.250
```

Values from the calculation:
- formation energy without anion corrections (eV per atom) = -0.623
- symmetry = I4_1/amd, No. 141
- total magnetization (μB per formula unit) = 1.2
- density of states at the Fermi level (states/eV/atom) = 2.369
- volume (Å³ per atom) = 23.112

11.
Ce5Si: optimized geometry, GGA-PBE.

The structure in POSCAR format:
```
Ce5Si
1.0
2.165 -6.947 0.000
2.165 6.947 0.000
0.000 0.000 4.710
Ce Si
5 1
Direct
0.000 0.000 0.000
0.172 0.828 0.500
0.351 0.649 0.000
0.649 0.351 0.000
0.828 0.172 0.500
0.500 0.500 0.500
```

Values from the calculation:
- formation energy without anion corrections (eV per atom) = -0.188
- symmetry = Cmmm, No. 65
- total magnetization (μB per formula unit) = 0.0
- density of states at the Fermi level (states/eV/atom) = 2.516
- volume (Å³ per atom) = 23.610

12.
Ce5Si3: optimized geometry, GGA-PBE.

The structure in POSCAR format:
```
Ce5Si3
1.0
-3.867 3.867 6.439
3.867 -3.867 6.439
3.867 3.867 -6.439
Ce Si
10 6
Direct
0.000 0.000 0.000
0.026 0.526 0.860
0.166 0.026 0.500
0.334 0.834 0.860
0.474 0.334 0.500
0.500 0.500 0.000
0.526 0.666 0.500
0.666 0.166 0.140
0.834 0.974 0.500
0.974 0.474 0.140
0.114 0.386 0.500
0.250 0.250 0.000
0.386 0.886 0.272
0.614 0.114 0.728
0.750 0.750 0.000
0.886 0.614 0.500
```

Values from the calculation:
- formation energy without anion corrections (eV per atom) = -0.551
- symmetry = I4/mcm, No. 140
- total magnetization (μB per formula unit) = 5.0
- density of states at the Fermi level (states/eV/atom) = 2.614
- energy relative to the lowest polymorph listed for this composition (meV per atom) = 0.0
- volume (Å³ per atom) = 24.068

13.
Ce7Si3: optimized geometry, GGA-PBE.

The structure in POSCAR format:
```
Ce7Si3
1.0
10.095 0.000 0.000
-5.047 8.742 0.000
0.000 0.000 5.807
Ce Si
14 6
Direct
0.056 0.528 0.000
0.131 0.262 0.805
0.131 0.869 0.805
0.262 0.131 0.305
0.333 0.667 0.593
0.472 0.528 0.000
0.472 0.944 0.000
0.528 0.056 0.500
0.528 0.472 0.500
0.667 0.333 0.093
0.738 0.869 0.805
0.869 0.131 0.305
0.869 0.738 0.305
0.944 0.472 0.500
0.193 0.386 0.308
0.193 0.807 0.308
0.386 0.193 0.808
0.614 0.807 0.308
0.807 0.193 0.808
0.807 0.614 0.808
```

Values from the calculation:
- formation energy without anion corrections (eV per atom) = -0.383
- symmetry = P6_3mc, No. 186
- total magnetization (μB per formula unit) = 4.6
- density of states at the Fermi level (states/eV/atom) = 2.800
- volume (Å³ per atom) = 25.622

14.
Ce2Si: optimized geometry, GGA-PBE.

The structure in POSCAR format:
```
Ce2Si
1.0
-1.968 1.968 4.650
1.968 -1.968 4.650
1.968 1.968 -4.650
Ce Si
2 1
Direct
0.145 0.145 0.000
0.855 0.855 0.000
0.500 0.500 0.000
```

Values from the calculation:
- formation energy without anion corrections (eV per atom) = -0.431
- symmetry = I4/mmm, No. 139
- total magnetization (μB per formula unit) = 1.3
- density of states at the Fermi level (states/eV/atom) = 2.643
- volume (Å³ per atom) = 24.014

15.
Ce3SmSi3: optimized geometry, GGA-PBE.

The structure in POSCAR format:
```
Ce3SmSi3
1.0
4.395 2.538 5.791
-4.395 2.538 5.791
0.000 -5.075 5.791
Ce Sm Si
6 2 6
Direct
0.102 0.825 0.357
0.175 0.643 0.898
0.357 0.102 0.825
0.643 0.898 0.175
0.825 0.357 0.102
0.898 0.175 0.643
0.333 0.333 0.333
0.667 0.667 0.667
0.068 0.451 0.692
0.308 0.932 0.549
0.451 0.692 0.068
0.549 0.308 0.932
0.692 0.068 0.451
0.932 0.549 0.308
```

Values from the calculation:
- formation energy without anion corrections (eV per atom) = -0.406
- symmetry = R-3, No. 148
- total magnetization (μB per formula unit) = 2.4
- density of states at the Fermi level (states/eV/atom) = 2.356
- volume (Å³ per atom) = 27.681

16.
CeSmSi2: optimized geometry, GGA-PBE.

The structure in POSCAR format:
```
CeSmSi2
1.0
3.900 0.000 0.000
0.000 2.207 5.413
0.000 -2.207 5.413
Ce Sm Si
1 1 2
Direct
0.000 0.000 0.000
0.500 0.719 0.719
0.000 0.288 0.288
0.500 0.432 0.432
```

Values from the calculation:
- formation energy without anion corrections (eV per atom) = -0.709
- symmetry = Amm2, No. 38
- total magnetization (μB per formula unit) = 0.8
- density of states at the Fermi level (states/eV/atom) = 1.749
- energy relative to the lowest polymorph listed for this composition (meV per atom) = 0.0
- volume (Å³ per atom) = 23.295

17.
CeSmSi2: optimized geometry, GGA-PBE.

The structure in POSCAR format:
```
CeSmSi2
1.0
2.111 1.219 6.784
-2.111 1.219 6.784
0.000 -2.437 6.784
Ce Sm Si
1 1 2
Direct
0.000 0.000 0.000
0.500 0.500 0.500
0.253 0.253 0.253
0.747 0.747 0.747
```

Values from the calculation:
- formation energy without anion corrections (eV per atom) = -0.448
- symmetry = R-3m, No. 166
- total magnetization (μB per formula unit) = 0.0
- density of states at the Fermi level (states/eV/atom) = 1.320
- energy relative to the lowest polymorph listed for this composition (meV per atom) = 261.2
- volume (Å³ per atom) = 26.173

18.
CeSm2Si6: optimized geometry, GGA-PBE.

The structure in POSCAR format:
```
CeSm2Si6
1.0
7.097 0.000 0.000
-3.549 6.147 0.000
0.000 0.000 4.102
Ce Sm Si
1 2 6
Direct
0.000 0.000 0.000
0.333 0.667 0.000
0.667 0.333 0.000
0.000 0.333 0.500
0.000 0.667 0.500
0.333 0.000 0.500
0.333 0.333 0.500
0.667 0.000 0.500
0.667 0.667 0.500
```

Values from the calculation:
- formation energy without anion corrections (eV per atom) = -0.611
- symmetry = P6/mmm, No. 191
- total magnetization (μB per formula unit) = 0.0
- density of states at the Fermi level (states/eV/atom) = 0.610
- volume (Å³ per atom) = 19.885

19.
CeSm2Si: optimized geometry, GGA-PBE.

The structure in POSCAR format:
```
CeSm2Si
1.0
1.796 1.037 10.878
-1.796 1.037 10.878
0.000 -2.074 10.878
Ce Sm Si
1 2 1
Direct
0.000 0.000 0.000
0.105 0.105 0.105
0.895 0.895 0.895
0.500 0.500 0.500
```

Values from the calculation:
- formation energy without anion corrections (eV per atom) = 0.066
- symmetry = R-3m, No. 166
- total magnetization (μB per formula unit) = 1.4
- density of states at the Fermi level (states/eV/atom) = 2.031
- energy relative to the lowest polymorph listed for this composition (meV per atom) = 323.9
- volume (Å³ per atom) = 30.388

20.
Ce2Sm5Si4: optimized geometry, GGA-PBE.

The structure in POSCAR format:
```
Ce2Sm5Si4
1.0
12.760 -1.753 0.000
12.760 1.753 0.000
-0.109 0.000 6.958
Ce Sm Si
2 5 4
Direct
0.094 0.094 0.196
0.906 0.906 0.804
0.130 0.130 0.694
0.234 0.234 0.250
0.500 0.500 0.500
0.766 0.766 0.750
0.870 0.870 0.306
0.022 0.022 0.852
0.327 0.327 0.005
0.673 0.673 0.995
0.978 0.978 0.148
```

Values from the calculation:
- formation energy without anion corrections (eV per atom) = -0.195
- symmetry = C2/m, No. 12
- total magnetization (μB per formula unit) = 2.1
- density of states at the Fermi level (states/eV/atom) = 1.672
- volume (Å³ per atom) = 28.299